The following is a DFT calculation (PBE) of crystalline Lu2TaCu at its relaxed geometry.

abc: 3.211 3.211 8.099
angles: 90.00 90.00 90.00
Fractional positions:
Lu1 0.000 0.000 0.772
Lu2 0.000 0.000 0.228
Cu1 0.500 0.500 0.000
Ta1 0.500 0.500 0.500

Density, Mg/m³: 11.8
Formation energy from the elements, eV/f.u.: 0.093
Fermi-level density of states, states/eV/atom: 0.68
E_tot, eV/atom: -6.2246
E above lowest polymorph, eV per formula unit: 0.00